# PBE-GGA TmPuPd2, optimized geometry
data_TmPuPd2
_cell_length_a 3.4349
_cell_length_b 3.4349
_cell_length_c 7.2187
_cell_angle_alpha 90.00
_cell_angle_beta 90.00
_cell_angle_gamma 90.00
_symmetry_space_group_name_H-M 'P 4/m m m'
_symmetry_Int_Tables_number 123
_symmetry_space_group_name_Hall '-P 4 2'
loop_
_atom_site_label
_atom_site_type_symbol
_atom_site_fract_x
_atom_site_fract_y
_atom_site_fract_z
Tm1 Tm 0.0000 0.0000 0.0000
Pu1 Pu 0.0000 0.0000 0.5000
Pd1 Pd 0.5000 0.5000 0.2270
# V	85	Å³ per cell
# E_tot	-31.89	eV/cell
# N(E_F)	2.7554	states/eV per atom

=====

# PBE-GGA TcBr3O, optimized geometry
data_TcBr3O
_cell_length_a 4.9669
_cell_length_b 4.9669
_cell_length_c 4.9669
_cell_angle_alpha 90.00
_cell_angle_beta 90.00
_cell_angle_gamma 90.00
_symmetry_space_group_name_H-M 'P m -3 m'
_symmetry_Int_Tables_number 221
_symmetry_space_group_name_Hall '-P 4 2 3'
loop_
_atom_site_label
_atom_site_type_symbol
_atom_site_fract_x
_atom_site_fract_y
_atom_site_fract_z
Tc1 Tc 0.0000 0.0000 0.0000
Br1 Br 0.0000 0.0000 0.5000
O1 O 0.5000 0.5000 0.5000
# V	123	Å³ per cell
# relative energy among the computed polymorphs	1202	meV/atom
# ΔE_f (raw)	372	kJ/mol of formula units
# E_tot	-16.49	eV/cell
# N(E_F)	2.1782	states/eV per atom

=====

# PBE-GGA LiZn3Au4, optimized geometry
data_LiZn3Au4
_cell_length_a 9.0173
_cell_length_b 6.2039
_cell_length_c 4.5676
_cell_angle_alpha 90.00
_cell_angle_beta 90.00
_cell_angle_gamma 90.00
_symmetry_space_group_name_H-M 'P m m a'
_symmetry_Int_Tables_number 51
loop_
_symmetry_equiv_pos_as_xyz
'x,y,z'
'-x,-y,-z'
'-x+1/2,-y,z'
'x+1/2,y,-z'
'x+1/2,-y,-z'
'-x+1/2,y,z'
'-x,y,-z'
'x,-y,z'
loop_
_atom_site_label
_atom_site_type_symbol
_atom_site_fract_x
_atom_site_fract_y
_atom_site_fract_z
Li1 Li 0.0000 0.0000 0.0000
Zn1 Zn 0.0000 0.5000 0.0000
Zn2 Zn 0.2500 0.0000 0.4771
Zn3 Zn 0.2500 0.5000 0.4764
Au1 Au 0.0000 0.2487 0.5000
Au2 Au 0.2500 0.2483 0.9781
# V	256	Å³ per cell
# relative energy among the computed polymorphs	5	meV/atom
# E_tot	-42.78	eV/cell
# N(E_F)	0.2272	states/eV per atom

=====

# PBE-GGA Mg5In6Pd, optimized geometry
data_Mg5In6Pd
_cell_length_a 4.4482
_cell_length_b 8.3662
_cell_length_c 8.3776
_cell_angle_alpha 107.34
_cell_angle_beta 105.39
_cell_angle_gamma 105.13
_symmetry_space_group_name_H-M 'P -1'
_symmetry_Int_Tables_number 2
loop_
_symmetry_equiv_pos_as_xyz
'x,y,z'
'-x,-y,-z'
loop_
_atom_site_label
_atom_site_type_symbol
_atom_site_fract_x
_atom_site_fract_y
_atom_site_fract_z
Mg1 Mg 0.0000 0.0000 0.0000
Mg2 Mg 0.0011 0.3518 0.6479
Mg3 Mg 0.4992 0.1697 0.8300
In1 In 0.2530 0.0896 0.4166
In2 In 0.2526 0.4167 0.0896
In3 In 0.2542 0.7532 0.7533
Pd1 Pd 0.5000 0.5000 0.5000
# V	267	Å³ per cell
# E_tot	-31.21	eV/cell
# N(E_F)	0.4109	states/eV per atom

=====

- What is the formula in the third record?
  LiZn3Au4